Entry 1:
The following is a PBE with a Hubbard U calculation of a geometry-optimized PaFe2F11 structure, from the Alexandria database.

Cell and atoms, written as CIF:
```
data_PaFe2F11
_cell_length_a 7.327
_cell_length_b 9.626
_cell_length_c 10.949
_cell_angle_alpha 90.00
_cell_angle_beta 90.00
_cell_angle_gamma 90.00
_space_group_name_H-M_alt 'I b a m'
_space_group_IT_number 72
_space_group_name_Hall '-I 2 2c'
loop_
_atom_site_label
_atom_site_type_symbol
_atom_site_fract_x
_atom_site_fract_y
_atom_site_fract_z
_atom_site_occupancy
Pa1 Pa 0.000 0.000 0.250 1
Fe1 Fe 0.129 0.320 0.000 1
F1 F 0.000 0.500 0.000 1
F2 F 0.097 0.183 0.144 1
F3 F 0.137 0.274 0.500 1
F4 F 0.232 0.069 0.365 1
```

---

Entry 2:
The following is a PBE with a Hubbard U calculation of a geometry-optimized Fe2PbF7 structure, from the Alexandria database.

Cell and atoms, written as CIF:
```
data_Fe2PbF7
_cell_length_a 6.732
_cell_length_b 10.278
_cell_length_c 3.910
_cell_angle_alpha 90.00
_cell_angle_beta 90.00
_cell_angle_gamma 90.00
_space_group_name_H-M_alt 'C m m m'
_space_group_IT_number 65
_space_group_name_Hall '-C 2 2'
loop_
_atom_site_label
_atom_site_type_symbol
_atom_site_fract_x
_atom_site_fract_y
_atom_site_fract_z
_atom_site_occupancy
Fe1 Fe 0.000 0.192 0.000 1
Pb1 Pb 0.000 0.500 0.500 1
F1 F 0.000 0.000 0.000 1
F2 F 0.000 0.214 0.500 1
F3 F 0.184 0.363 0.000 1
```

---

no.,DFT total energy (eV per cell)
1,-329.26
2,-103.13